Material: Sc2Ni2Os
Method: DFT, PBE-GGA
State: relaxed

Geometry as POSCAR:
```
Sc2Ni2Os
1.0
6.526 0.000 0.000
0.000 6.526 0.000
0.000 0.000 3.677
Sc Ni Os
4 4 2
Direct
0.182 0.318 0.000 Sc
0.318 0.818 0.000 Sc
0.682 0.182 0.000 Sc
0.818 0.682 0.000 Sc
0.125 0.625 0.500 Ni
0.375 0.125 0.500 Ni
0.625 0.875 0.500 Ni
0.875 0.375 0.500 Ni
0.000 0.000 0.500 Os
0.500 0.500 0.500 Os
```

Summary:
Space-group type: P4/mbm (127)
V (Å³ per atom): 15.659
Formation energy (eV/atom): -0.306

Material: YHoCuOs
Method: DFT, PBE-GGA
State: relaxed

Geometry as POSCAR:
```
YHoCuOs
1.0
0.000 3.430 3.430
3.430 0.000 3.430
3.430 3.430 0.000
Y Ho Cu Os
1 1 1 1
Direct
0.000 0.000 0.000 Y
0.500 0.500 0.500 Ho
0.750 0.750 0.750 Cu
0.250 0.250 0.250 Os
```

Summary:
Space-group type: F-43m (216)
V (Å³ per atom): 20.173
Formation energy (eV/atom): -0.255

Material: SbPSeBr2
Method: DFT, PBE-GGA
State: relaxed

Geometry as POSCAR:
```
SbPSeBr2
1.0
4.972 0.000 0.000
0.000 4.972 0.000
0.000 0.000 5.193
Sb P Se Br
1 1 1 2
Direct
0.000 0.000 0.000 Sb
0.500 0.500 0.500 P
0.500 0.500 0.000 Se
0.000 0.500 0.500 Br
0.500 0.000 0.500 Br
```

Summary:
Space-group type: P4/mmm (123)
V (Å³ per atom): 25.674
Energy relative to the elements, uncorrected (meV per atom): 321

Material: LiCa2Pa3N6
Method: DFT, PBE-GGA
State: relaxed

Geometry as POSCAR:
```
LiCa2Pa3N6
1.0
7.550 -1.781 0.000
7.550 1.781 0.000
-1.334 0.000 6.815
Li Ca Pa N
1 2 3 6
Direct
0.000 0.000 0.000 Li
0.334 0.334 0.668 Ca
0.666 0.666 0.332 Ca
0.000 0.000 0.500 Pa
0.337 0.337 0.161 Pa
0.663 0.663 0.839 Pa
0.158 0.158 0.608 N
0.177 0.177 0.066 N
0.491 0.491 0.279 N
0.509 0.509 0.721 N
0.823 0.823 0.934 N
0.842 0.842 0.392 N
```

Summary:
Space-group type: C2/m (12)
V (Å³ per atom): 15.275
Energy relative to the elements, uncorrected (meV per atom): -1377

Material: Er8BiSb5
Method: DFT, PBE-GGA
State: relaxed

Geometry as POSCAR:
```
Er8BiSb5
1.0
-4.579 4.579 4.564
4.579 -4.579 4.564
4.579 4.579 -4.564
Er Bi Sb
8 1 5
Direct
0.026 0.124 0.755 Er
0.234 0.482 0.604 Er
0.370 0.271 0.245 Er
0.370 0.766 0.248 Er
0.518 0.123 0.752 Er
0.729 0.974 0.098 Er
0.876 0.630 0.902 Er
0.877 0.630 0.396 Er
0.750 0.250 0.500 Bi
0.128 0.004 0.377 Sb
0.250 0.872 0.876 Sb
0.500 0.500 0.000 Sb
0.627 0.750 0.623 Sb
0.996 0.373 0.124 Sb
```

Summary:
Space-group type: I-4 (82)
V (Å³ per atom): 27.335
Energy relative to the elements, uncorrected (meV per atom): -901

Material: LaZrOs
Method: DFT, PBE-GGA
State: relaxed

Geometry as POSCAR:
```
LaZrOs
1.0
4.704 0.000 0.000
-2.352 4.074 0.000
0.000 0.000 3.472
La Zr Os
1 1 1
Direct
0.000 0.000 0.000 La
0.667 0.333 0.601 Zr
0.333 0.667 0.352 Os
```

Summary:
Space-group type: P3m1 (156)
V (Å³ per atom): 22.184
Formation energy (eV/atom): 0.104

Material: ZnSbPt2
Method: DFT, PBE-GGA
State: relaxed

Geometry as POSCAR:
```
ZnSbPt2
1.0
2.118 1.223 4.770
-2.118 1.223 4.770
0.000 -2.446 4.770
Zn Sb Pt
1 1 2
Direct
0.000 0.000 0.000 Zn
0.810 0.810 0.810 Sb
0.391 0.391 0.391 Pt
0.593 0.593 0.593 Pt
```

Summary:
Space-group type: R3m (160)
V (Å³ per atom): 18.536
Energy relative to the elements, uncorrected (meV per atom): -279

Material: Tl2FeAg
Method: DFT, PBE-GGA
State: relaxed

Geometry as POSCAR:
```
Tl2FeAg
1.0
1.634 0.943 9.168
-1.634 0.943 9.168
0.000 -1.887 9.168
Tl Fe Ag
2 1 1
Direct
0.246 0.246 0.246 Tl
0.754 0.754 0.754 Tl
0.500 0.500 0.500 Fe
0.000 0.000 0.000 Ag
```

Summary:
Space-group type: R-3m (166)
V (Å³ per atom): 21.196
Formation energy (eV/atom): 0.504

Material: Tb2SnSe
Method: DFT, PBE-GGA
State: relaxed

Geometry as POSCAR:
```
Tb2SnSe
1.0
2.116 1.221 7.083
-2.116 1.221 7.083
0.000 -2.443 7.083
Tb Sn Se
2 1 1
Direct
0.247 0.247 0.247 Tb
0.753 0.753 0.753 Tb
0.000 0.000 0.000 Sn
0.500 0.500 0.500 Se
```

Summary:
Space-group type: R-3m (166)
V (Å³ per atom): 27.452
Energy relative to the elements, uncorrected (meV per atom): -1234

Material: Cs3CuAu2I6
Method: DFT, PBE-GGA
State: relaxed

Geometry as POSCAR:
```
Cs3CuAu2I6
1.0
8.655 0.000 0.000
-4.327 7.495 0.000
0.000 0.000 9.910
Cs Cu Au I
3 1 2 6
Direct
0.000 0.000 0.000 Cs
0.333 0.667 0.661 Cs
0.667 0.333 0.339 Cs
0.000 0.000 0.500 Cu
0.333 0.667 0.305 Au
0.667 0.333 0.695 Au
0.151 0.303 0.314 I
0.151 0.849 0.314 I
0.303 0.151 0.686 I
0.697 0.849 0.314 I
0.849 0.151 0.686 I
0.849 0.697 0.686 I
```

Summary:
Space-group type: P-3m1 (164)
V (Å³ per atom): 53.573
Energy relative to the elements, uncorrected (meV per atom): -705

Material: YFeBr2
Method: DFT, PBE-GGA
State: relaxed

Geometry as POSCAR:
```
YFeBr2
1.0
5.438 -1.772 0.000
5.438 1.772 0.000
-3.912 0.000 6.140
Y Fe Br
1 1 2
Direct
0.000 0.000 0.000 Y
0.266 0.266 0.686 Fe
0.574 0.574 0.375 Br
0.706 0.706 0.979 Br
```

Summary:
Space-group type: Cm (8)
V (Å³ per atom): 29.583
Energy relative to the elements, uncorrected (meV per atom): -441

Material: Sr6I7Br5
Method: DFT, PBE-GGA
State: relaxed

Geometry as POSCAR:
```
Sr6I7Br5
1.0
14.550 0.000 0.000
0.000 5.531 5.105
0.000 -5.531 5.105
Sr I Br
6 7 5
Direct
0.000 0.000 0.000 Sr
0.165 0.498 0.498 Sr
0.325 0.994 0.994 Sr
0.500 0.523 0.523 Sr
0.675 0.994 0.994 Sr
0.835 0.498 0.498 Sr
0.000 0.298 0.699 I
0.000 0.699 0.298 I
0.333 0.309 0.709 I
0.333 0.709 0.309 I
0.500 0.204 0.204 I
0.667 0.309 0.709 I
0.667 0.709 0.309 I
0.163 0.804 0.804 Br
0.165 0.193 0.193 Br
0.500 0.819 0.819 Br
0.835 0.193 0.193 Br
0.837 0.804 0.804 Br
```

Summary:
Space-group type: Amm2 (38)
V (Å³ per atom): 45.649
Energy relative to the elements, uncorrected (meV per atom): -1857

Material: CaSm2ErTe4
Method: DFT, PBE-GGA
State: relaxed

Geometry as POSCAR:
```
CaSm2ErTe4
1.0
7.624 0.000 0.000
0.000 4.383 0.000
-2.504 0.000 7.313
Ca Sm Er Te
1 2 1 4
Direct
0.000 0.000 0.000 Ca
0.000 0.500 0.500 Sm
0.500 0.000 0.500 Sm
0.500 0.500 0.000 Er
0.251 0.500 0.244 Te
0.255 0.000 0.759 Te
0.745 0.000 0.241 Te
0.749 0.500 0.756 Te
```

Summary:
Space-group type: P2/m (10)
V (Å³ per atom): 30.547
Energy relative to the elements, uncorrected (meV per atom): -1396

Material: Ca5Pd2Au12
Method: DFT, PBE-GGA
State: relaxed

Geometry as POSCAR:
```
Ca5Pd2Au12
1.0
7.561 -3.797 0.000
7.561 3.797 0.000
-0.427 0.000 7.022
Ca Pd Au
5 2 12
Direct
0.000 0.000 0.000 Ca
0.245 0.245 0.933 Ca
0.315 0.315 0.459 Ca
0.685 0.685 0.541 Ca
0.755 0.755 0.067 Ca
0.305 0.695 0.500 Pd
0.695 0.305 0.500 Pd
0.036 0.668 0.745 Au
0.108 0.108 0.597 Au
0.189 0.601 0.149 Au
0.332 0.964 0.255 Au
0.399 0.811 0.851 Au
0.442 0.442 0.817 Au
0.558 0.558 0.183 Au
0.601 0.189 0.149 Au
0.668 0.036 0.745 Au
0.811 0.399 0.851 Au
0.892 0.892 0.403 Au
0.964 0.332 0.255 Au
```

Summary:
Space-group type: C2/m (12)
V (Å³ per atom): 21.218
Formation energy (eV/atom): -0.548

Material: Tl2ReRu
Method: DFT, PBE-GGA
State: relaxed

Geometry as POSCAR:
```
Tl2ReRu
1.0
0.000 3.324 3.324
3.324 0.000 3.324
3.324 3.324 0.000
Tl Re Ru
2 1 1
Direct
0.250 0.250 0.250 Tl
0.750 0.750 0.750 Tl
0.000 0.000 0.000 Re
0.500 0.500 0.500 Ru
```

Summary:
Space-group type: Fm-3m (225)
V (Å³ per atom): 18.364
Formation energy (eV/atom): 1.069

Material: SrLi2TlI
Method: DFT, PBE-GGA
State: relaxed

Geometry as POSCAR:
```
SrLi2TlI
1.0
6.302 0.000 0.000
0.000 6.302 0.000
0.000 0.000 6.448
Sr Li Tl I
1 2 1 1
Direct
0.000 0.000 0.000 Sr
0.000 0.500 0.000 Li
0.500 0.000 0.000 Li
0.000 0.000 0.500 Tl
0.500 0.500 0.500 I
```

Summary:
Space-group type: P4/mmm (123)
V (Å³ per atom): 51.219
Energy relative to the elements, uncorrected (meV per atom): 475

Material: Ac2Pm12Nd5
Method: DFT, PBE-GGA
State: relaxed

Geometry as POSCAR:
```
Ac2Pm12Nd5
1.0
6.705 -5.915 0.000
6.705 5.915 0.000
-4.347 0.000 8.621
Ac Pm Nd
2 12 5
Direct
0.236 0.764 0.000 Ac
0.764 0.236 0.000 Ac
0.063 0.555 0.196 Pm
0.075 0.075 0.774 Pm
0.112 0.671 0.574 Pm
0.329 0.888 0.426 Pm
0.371 0.371 0.055 Pm
0.445 0.937 0.804 Pm
0.555 0.063 0.196 Pm
0.629 0.629 0.945 Pm
0.671 0.112 0.574 Pm
0.888 0.329 0.426 Pm
0.925 0.925 0.226 Pm
0.937 0.445 0.804 Pm
0.191 0.191 0.239 Nd
0.310 0.310 0.672 Nd
0.500 0.500 0.500 Nd
0.690 0.690 0.328 Nd
0.809 0.809 0.761 Nd
```

Summary:
Space-group type: C2/m (12)
V (Å³ per atom): 35.989
Formation energy (eV/atom): 0.108

Material: CdBi2Pd7Pb2
Method: DFT, PBE-GGA
State: relaxed

Geometry as POSCAR:
```
CdBi2Pd7Pb2
1.0
2.860 -2.832 0.000
2.860 2.832 0.000
-1.762 0.000 15.587
Cd Bi Pd Pb
1 2 7 2
Direct
0.000 0.000 0.000 Cd
0.134 0.134 0.395 Bi
0.866 0.866 0.605 Bi
0.040 0.540 0.131 Pd
0.338 0.338 0.563 Pd
0.460 0.960 0.869 Pd
0.500 0.500 0.000 Pd
0.540 0.040 0.131 Pd
0.662 0.662 0.437 Pd
0.960 0.460 0.869 Pd
0.421 0.421 0.746 Pb
0.579 0.579 0.254 Pb
```

Summary:
Space-group type: C2/m (12)
V (Å³ per atom): 21.036
Formation energy (eV/atom): -0.189

Material: Y3Mg7Cd2
Method: DFT, PBE-GGA
State: relaxed

Geometry as POSCAR:
```
Y3Mg7Cd2
1.0
1.975 -16.643 0.000
1.975 16.643 0.000
0.000 0.000 4.806
Y Mg Cd
3 7 2
Direct
0.000 0.000 0.000 Y
0.166 0.834 0.000 Y
0.834 0.166 0.000 Y
0.072 0.928 0.500 Mg
0.282 0.718 0.500 Mg
0.419 0.581 0.000 Mg
0.500 0.500 0.500 Mg
0.581 0.419 0.000 Mg
0.718 0.282 0.500 Mg
0.928 0.072 0.500 Mg
0.363 0.637 0.500 Cd
0.637 0.363 0.500 Cd
```

Summary:
Space-group type: Cmmm (65)
V (Å³ per atom): 26.334
Formation energy (eV/atom): -0.036

Material: Ce8HRu5
Method: DFT, PBE-GGA
State: relaxed

Geometry as POSCAR:
```
Ce8HRu5
1.0
-4.259 4.259 4.318
4.259 -4.259 4.318
4.259 4.259 -4.318
Ce H Ru
8 1 5
Direct
0.282 0.520 0.640 Ce
0.357 0.718 0.237 Ce
0.386 0.235 0.252 Ce
0.480 0.120 0.763 Ce
0.765 0.017 0.151 Ce
0.866 0.614 0.849 Ce
0.880 0.643 0.360 Ce
0.983 0.134 0.748 Ce
0.750 0.250 0.500 H
0.127 0.011 0.375 Ru
0.249 0.873 0.885 Ru
0.500 0.500 0.000 Ru
0.636 0.751 0.625 Ru
0.989 0.364 0.115 Ru
```

Summary:
E (eV/atom): -7.257
Space-group type: I-4 (82)
V (Å³ per atom): 22.375

Material: PaSnP2
Method: DFT, PBE-GGA
State: relaxed

Geometry as POSCAR:
```
PaSnP2
1.0
4.563 0.000 0.000
0.000 4.563 0.000
0.000 0.000 3.714
Pa Sn P
1 1 2
Direct
0.000 0.000 0.000 Pa
0.500 0.500 0.000 Sn
0.000 0.500 0.500 P
0.500 0.000 0.500 P
```

Summary:
Space-group type: P4/mmm (123)
V (Å³ per atom): 19.334
Formation energy (eV/atom): -0.593

Material: LiAs2W
Method: DFT, PBE-GGA
State: relaxed

Geometry as POSCAR:
```
LiAs2W
1.0
-3.017 3.017 5.478
3.017 -3.017 5.478
3.017 3.017 -5.478
Li As W
2 4 2
Direct
0.000 0.000 0.000 Li
0.750 0.250 0.500 Li
0.156 0.625 0.031 As
0.375 0.406 0.531 As
0.594 0.125 0.969 As
0.875 0.844 0.469 As
0.250 0.750 0.500 W
0.500 0.500 0.000 W
```

Summary:
Space-group type: I-42d (122)
V (Å³ per atom): 24.930
Formation energy (eV/atom): 0.215

Material: La2PmY
Method: DFT, PBE-GGA
State: relaxed

Geometry as POSCAR:
```
La2PmY
1.0
1.844 1.064 11.942
-1.844 1.064 11.942
0.000 -2.129 11.942
La Pm Y
2 1 1
Direct
0.000 0.000 0.000 La
0.164 0.164 0.164 La
0.580 0.580 0.580 Pm
0.749 0.749 0.749 Y
```

Summary:
Space-group type: R3m (160)
V (Å³ per atom): 35.155
Formation energy (eV/atom): 0.019

Material: MnTlZn2
Method: DFT, PBE-GGA
State: relaxed

Geometry as POSCAR:
```
MnTlZn2
1.0
0.000 3.323 3.323
3.323 0.000 3.323
3.323 3.323 0.000
Mn Tl Zn
1 1 2
Direct
0.000 0.000 0.000 Mn
0.500 0.500 0.500 Tl
0.250 0.250 0.250 Zn
0.750 0.750 0.750 Zn
```

Summary:
Space-group type: Fm-3m (225)
V (Å³ per atom): 18.354
Formation energy (eV/atom): 0.378

The records above give, respectively, ρ values of 8.431; 10.446; 5.064; 7.829; 9.354; 10.488; 12.930; 11.212; 7.796; 4.178; 4.274; 3.665; 6.921; 11.438; 15.735; 2.806; 7.079; 11.115; 3.477; 8.626; 8.840; 5.672; 6.043; 8.824 g/cm³.